Li2CaGeH: relaxed, PBE.

- size of the total moment (μB/cell) = 0.00
- energy relative to the lowest polymorph listed for this composition (eV per atom) = 0.000
- E (hartree per atom) = -0.117

abc: 3.499 5.948 8.227
angles: 90.00 90.00 107.11
Fractional coordinates of all 10 atoms:
Li 0.160 0.321 0.958
Li 0.840 0.679 0.042
Li 0.160 0.321 0.542
Li 0.840 0.679 0.458
Ca 0.461 0.922 0.750
Ca 0.539 0.078 0.250
Ge 0.738 0.475 0.750
Ge 0.262 0.525 0.250
H 0.000 0.000 0.000
H 0.000 0.000 0.500